Here is NaAs2AuSe after structural relaxation from Alexandria. Energies are from PBE.

Lattice parameters (Å, degrees): 5.056 5.056 5.418 90.00 90.00 90.00
Space group P4/mmm (No. 123)
Symmetry-distinct sites (fractional):
Na1 0.000 0.000 0.000
As1 0.000 0.500 0.500
Au1 0.500 0.500 0.500
Se1 0.500 0.500 0.000

Values from the calculation:
The value obtained for the energy is -15.64 eV/cell. The offset from the most stable computed form is 0.000 eV per atom.

***

Here is NaAs2AuSe4 after structural relaxation from Alexandria. Energies are from PBE.

Lattice parameters (Å, degrees): 6.728 7.352 8.096 90.00 90.00 90.00
Space group I222 (No. 23)
Symmetry-distinct sites (fractional):
Na1 0.000 0.000 0.000
As1 0.000 0.500 0.174
Au1 0.000 0.000 0.500
Se1 0.177 0.207 0.288

Values from the calculation:
The value obtained for the energy is -57.40 eV/cell.

***

Here is NaAsAuSe2 after structural relaxation from Alexandria. Energies are from PBE.

Lattice parameters (Å, degrees): 5.048 5.048 5.022 90.00 90.00 90.00
Space group P4/mmm (No. 123)
Symmetry-distinct sites (fractional):
Na1 0.000 0.000 0.000
As1 0.000 0.000 0.500
Au1 0.500 0.500 0.500
Se1 0.000 0.500 0.000

Values from the calculation:
The value obtained for the energy is -11.33 eV/cell. The offset from the most stable computed form is 0.781 eV per atom.

***

Here is NaAsAu2Se4 after structural relaxation from Alexandria. Energies are from PBE.

Lattice parameters (Å, degrees): 6.606 7.392 9.418 90.00 90.00 90.00
Space group I222 (No. 23)
Symmetry-distinct sites (fractional):
Na1 0.000 0.000 0.000
As1 0.000 0.500 0.000
Au1 0.000 0.207 0.500
Se1 0.199 0.310 0.848

Values from the calculation:
The value obtained for the energy is -56.99 eV/cell.

***

Here is NaAsAuSe2 after structural relaxation from Alexandria. Energies are from PBE.

Lattice parameters (Å, degrees): 5.353 5.353 4.857 90.00 90.00 90.00
Space group P4/mmm (No. 123)
Symmetry-distinct sites (fractional):
Na1 0.000 0.000 0.000
As1 0.500 0.500 0.000
Au1 0.500 0.500 0.500
Se1 0.000 0.500 0.500

Values from the calculation:
The value obtained for the energy is -15.23 eV/cell. The offset from the most stable computed form is 0.000 eV per atom.

***

Here is Na2AsAuSe4 after structural relaxation from Alexandria. Energies are from PBE.

Lattice parameters (Å, degrees): 6.665 6.665 10.665 90.00 90.00 90.00
Space group I-4 (No. 82)
Symmetry-distinct sites (fractional):
Na1 0.000 0.000 0.000
Na2 0.000 0.500 0.250
As1 0.000 0.500 0.750
Au1 0.000 0.000 0.500
Se1 0.194 0.273 0.626

Values from the calculation:
The value obtained for the energy is -55.72 eV/cell.

***

Here is Na2SiAsAu6 after structural relaxation from Alexandria. Energies are from PBE.

Lattice parameters (Å, degrees): 5.780 8.395 9.214 90.00 90.00 90.00
Space group Pmmn (No. 59, origin choice 2)
Symmetry-distinct sites (fractional):
Na1 0.250 0.013 0.234
Si1 0.250 0.250 0.752
As1 0.250 0.750 0.811
Au1 0.005 0.250 0.967
Au2 0.011 0.750 0.468
Au3 0.250 0.516 0.635

Values from the calculation:
The value obtained for the energy is -68.92 eV/cell.

***

Here is NaSmAsAu after structural relaxation from Alexandria. Energies are from PBE.

Lattice parameters (Å, degrees): 7.168 7.168 7.168 90.00 90.00 90.00
Space group F-43m (No. 216)
Symmetry-distinct sites (fractional):
Na1 0.000 0.000 0.000
Sm1 0.000 0.000 0.500
As1 0.250 0.250 0.250
Au1 0.250 0.250 0.750

Values from the calculation:
As for the energy of formation from the pure elements: -753.9 meV per atom. The value obtained for the energy is -67.92 eV/cell.

***

Here is NaTbAsAu after structural relaxation from Alexandria. Energies are from PBE.

Lattice parameters (Å, degrees): 7.090 7.090 7.090 90.00 90.00 90.00
Space group F-43m (No. 216)
Symmetry-distinct sites (fractional):
Na1 0.000 0.000 0.000
Tb1 0.000 0.000 0.500
As1 0.250 0.250 0.750
Au1 0.250 0.250 0.250

Values from the calculation:
As for the energy of formation from the pure elements: -749.3 meV per atom. The value obtained for the energy is -67.49 eV/cell.

***

Here is NaTe3AsAu after structural relaxation from Alexandria. Energies are from PBE.

Lattice parameters (Å, degrees): 8.682 4.216 9.775 90.00 99.77 90.00
Space group P2_1/m (No. 11)
Symmetry-distinct sites (fractional):
Na1 0.176 0.250 0.245
Te1 0.106 0.250 0.902
Te2 0.285 0.750 0.550
Te3 0.439 0.750 0.160
As1 0.330 0.750 0.883
Au1 0.097 0.250 0.536

Values from the calculation:
The value obtained for the energy is -39.82 eV/cell.

***

- Which of these has the lowest energy?
  Na2SiAsAu6